LuPaRe2 after structural relaxation, computed with PBE.

The formation energy is 0.03 eV/f.u. The crystal system is tetragonal. The calculated total energy comes out at -9.720 eV per atom.

Structure (CIF):
```
data_LuPaRe2
_symmetry_space_group_name_H-M 'P 4/m m m'
_symmetry_Int_Tables_number 123
_symmetry_space_group_name_Hall '-P 4 2'
_cell_length_a 4.830
_cell_length_b 4.830
_cell_length_c 3.396
_cell_angle_alpha 90.00
_cell_angle_beta 90.00
_cell_angle_gamma 90.00
loop_
_atom_site_label
_atom_site_type_symbol
_atom_site_fract_x
_atom_site_fract_y
_atom_site_fract_z
_atom_site_occupancy
Lu1 Lu 0.000 0.000 0.000 1
Pa1 Pa 0.500 0.500 0.000 1
Re1 Re 0.000 0.500 0.500 1
```